A plane-wave DFT calculation with meta-GGA SCAN was carried out for a crystal of MnBe2Ag relaxed with PBEsol.

a b c (Å): 5.029 5.029 5.029
angles (deg): 104.92 104.92 119.02
Last column: magnetic moment on the atom in μB.
Sites, in units of the cell vectors:
Mn1 0.750 0.250 0.500  3.14
Mn2 0.500 0.500 0.000  3.14
Be1 0.625 0.132 0.007  -0.08
Be2 0.868 0.875 0.493  -0.08
Be3 0.125 0.618 0.993  -0.08
Be4 0.382 0.375 0.507  -0.08
Ag1 0.250 0.750 0.500  -0.01
Ag2 0.000 0.000 0.000  -0.01

The density of states at the Fermi level is 4.1 states/eV/cell. For the energy of formation, the calculation gives 414 meV/atom. The value obtained for the relative energy among the computed polymorphs is 441 meV per atom. For the total DFT energy (no corrections), the calculation gives -14.168 eV/atom. The symmetry is No. 122.



A plane-wave DFT calculation with meta-GGA SCAN was carried out for a crystal of BaYOs2 relaxed with PBEsol.

a b c (Å): 3.051 4.561 6.817
angles (deg): 90.00 98.90 90.00
Sites, in units of the cell vectors:
Y1 0.500 0.500 0.000
Ba1 0.000 0.500 0.500
Os1 0.254 0.000 0.163
Os2 0.746 0.000 0.837

The density of states at the Fermi level is 3.6 states/eV/cell. For the energy of formation, the calculation gives 629 meV/atom. The value obtained for the relative energy among the computed polymorphs is 189 meV per atom. For the total DFT energy (no corrections), the calculation gives -52.159 eV/atom. The symmetry is No. 10.



A plane-wave DFT calculation with meta-GGA SCAN was carried out for a crystal of PdWBr3 relaxed with PBEsol.

a b c (Å): 4.994 4.994 4.994
angles (deg): 90.00 90.00 90.00
Last column: magnetic moment on the atom in μB.
Sites, in units of the cell vectors:
Br1 0.000 0.000 0.500  -0.01
Br2 0.500 0.000 0.000  -0.01
Br3 0.000 0.500 0.000  -0.01
Pd1 0.000 0.000 0.000  -0.03
W1 0.500 0.500 0.500  3.51

The density of states at the Fermi level is 5.1 states/eV/cell. The formation energy from raw total energies is 1089.1 meV per atom. For the total DFT energy (no corrections), the calculation gives -31.079 eV/atom. The symmetry is No. 221.



A plane-wave DFT calculation with meta-GGA SCAN was carried out for a crystal of K3TbCl6 relaxed with PBEsol.

a b c (Å): 7.794 7.794 7.794
angles (deg): 60.00 60.00 60.00
Sites, in units of the cell vectors:
Cl1 0.736 0.264 0.736
Cl2 0.264 0.736 0.736
Cl3 0.264 0.264 0.736
Cl4 0.736 0.736 0.264
Cl5 0.264 0.736 0.264
Cl6 0.736 0.264 0.264
K1 0.000 0.000 0.000
K2 0.250 0.250 0.250
K3 0.750 0.750 0.750
Tb1 0.500 0.500 0.500

The density of states at the Fermi level is 0.0 states/eV/cell. The formation energy from raw total energies is -2278.8 meV per atom. For the total DFT energy (no corrections), the calculation gives -14.240 eV/atom. The symmetry is No. 225.



A plane-wave DFT calculation with meta-GGA SCAN was carried out for a crystal of CePrAl4 relaxed with PBEsol.

a b c (Å): 5.615 5.615 5.615
angles (deg): 60.00 60.00 60.00
Last column: magnetic moment on the atom in μB.
Sites, in units of the cell vectors:
Al1 0.376 0.873 0.376  0.00
Al2 0.873 0.376 0.376  0.00
Al3 0.376 0.376 0.873  0.00
Al4 0.376 0.376 0.376  0.00
Ce1 0.750 0.750 0.750  0.85
Pr1 0.000 0.000 0.000  0.05

The density of states at the Fermi level is 5.6 states/eV/cell. For the energy of formation, the calculation gives -493 meV/atom. For the total DFT energy (no corrections), the calculation gives -20.309 eV/atom. The symmetry is No. 216.



A plane-wave DFT calculation with meta-GGA SCAN was carried out for a crystal of LaPtW3 relaxed with PBEsol.

a b c (Å): 4.845 4.845 4.845
angles (deg): 90.00 90.00 90.00
Sites, in units of the cell vectors:
La1 0.500 0.500 0.500
W1 0.500 0.000 0.000
W2 0.000 0.000 0.500
W3 0.000 0.500 0.000
Pt1 0.000 0.000 0.000

The density of states at the Fermi level is 7.5 states/eV/cell. For the energy of formation, the calculation gives 1560 meV/atom. For the total DFT energy (no corrections), the calculation gives -62.913 eV/atom. The symmetry is No. 221.



A plane-wave DFT calculation with meta-GGA SCAN was carried out for a crystal of NaCoCu3 relaxed with PBEsol.

a b c (Å): 4.429 4.429 4.429
angles (deg): 90.00 90.00 90.00
Last column: magnetic moment on the atom in μB.
Sites, in units of the cell vectors:
Cu1 0.000 0.500 0.000  0.17
Cu2 0.000 0.000 0.500  0.17
Cu3 0.500 0.000 0.000  0.17
Na1 0.500 0.500 0.500  0.00
Co1 0.000 0.000 0.000  1.94

The density of states at the Fermi level is 2.8 states/eV/cell. For the energy of formation, the calculation gives 760 meV/atom. For the total DFT energy (no corrections), the calculation gives -12.664 eV/atom. The symmetry is No. 221.



A plane-wave DFT calculation with meta-GGA SCAN was carried out for a crystal of NaYGa2Pd relaxed with PBEsol.

a b c (Å): 4.705 4.705 5.145
angles (deg): 90.00 90.00 90.00
Sites, in units of the cell vectors:
Pd1 0.500 0.500 0.500
Na1 0.000 0.000 0.000
Ga1 0.500 0.000 0.000
Ga2 0.000 0.500 0.000
Y1 0.000 0.000 0.500

The density of states at the Fermi level is 2.6 states/eV/cell. For the energy of formation, the calculation gives 797 meV/atom. For the total DFT energy (no corrections), the calculation gives -18.708 eV/atom. The symmetry is No. 123.